(1)
Entry from Alexandria via LeMat-Bulk: crystalline CaTe2S2 at its relaxed geometry (PBE).

Computed properties:
D(E_F) in states/eV/f.u.: 1.84
SG: P4/mbm (127)
ΔE_f (raw) in eV per atom: -0.37

a b c (Å): 8.299 8.299 4.463
angles (deg): 90.00 90.00 90.00
Fractional positions:
Ca: 0.000 0.000 0.000
Ca: 0.500 0.500 0.000
Te: 0.159 0.341 0.000
Te: 0.341 0.841 0.000
Te: 0.659 0.159 0.000
Te: 0.841 0.659 0.000
S: 0.233 0.733 0.500
S: 0.267 0.233 0.500
S: 0.733 0.767 0.500
S: 0.767 0.267 0.500

(2)
Entry from Alexandria via LeMat-Bulk: crystalline Ca6TeS4 at its relaxed geometry (PBE).

Computed properties:
D(E_F) in states/eV/f.u.: 3.55
SG: Cmcm (63)
ΔE_f (raw) in eV per atom: -1.79

a b c (Å): 7.041 7.041 20.686
angles (deg): 90.00 90.00 146.12
Fractional positions:
Ca: 0.000 0.000 0.000
Ca: 0.000 0.000 0.500
Ca: 0.157 0.843 0.750
Ca: 0.273 0.727 0.080
Ca: 0.273 0.727 0.420
Ca: 0.465 0.535 0.660
Ca: 0.465 0.535 0.840
Ca: 0.535 0.465 0.160
Ca: 0.535 0.465 0.340
Ca: 0.727 0.273 0.580
Ca: 0.727 0.273 0.920
Ca: 0.843 0.157 0.250
Te: 0.162 0.838 0.250
Te: 0.838 0.162 0.750
S: 0.096 0.904 0.621
S: 0.096 0.904 0.879
S: 0.364 0.636 0.544
S: 0.364 0.636 0.956
S: 0.636 0.364 0.044
S: 0.636 0.364 0.456
S: 0.904 0.096 0.121
S: 0.904 0.096 0.379

(3)
Entry from Alexandria via LeMat-Bulk: crystalline CaTe2S at its relaxed geometry (PBE).

Computed properties:
D(E_F) in states/eV/f.u.: 0.34
SG: I-42d (122)
ΔE_f (raw) in eV per atom: -0.36

a b c (Å): 9.044 9.044 9.044
angles (deg): 140.21 140.21 57.54
Fractional positions:
Ca: 0.000 0.000 0.000
Ca: 0.750 0.250 0.500
Te: 0.200 0.625 0.075
Te: 0.375 0.450 0.575
Te: 0.550 0.125 0.925
Te: 0.875 0.800 0.425
S: 0.250 0.750 0.500
S: 0.500 0.500 0.000

(4)
Entry from Alexandria via LeMat-Bulk: crystalline Ca2TeS at its relaxed geometry (PBE).

Computed properties:
SG: R-3m (166)
ΔE_f (raw) in eV per atom: -1.85

a b c (Å): 7.463 7.463 7.463
angles (deg): 33.21 33.21 33.21
Fractional positions:
Ca: 0.242 0.242 0.242
Ca: 0.758 0.758 0.758
Te: 0.000 0.000 0.000
S: 0.500 0.500 0.500

(5)
Entry from Alexandria via LeMat-Bulk: crystalline Ca2TeS at its relaxed geometry (PBE).

Computed properties:
SG: P-3m1 (164)
ΔE_f (raw) in eV per atom: -1.72

a b c (Å): 4.158 4.158 7.518
angles (deg): 90.00 90.00 120.00
Fractional positions:
Ca: 0.333 0.667 0.226
Ca: 0.667 0.333 0.774
Te: 0.000 0.000 0.500
S: 0.000 0.000 0.000

(6)
Entry from Alexandria via LeMat-Bulk: crystalline Ca2TeS at its relaxed geometry (PBE).

Computed properties:
D(E_F) in states/eV/f.u.: 0.00
SG: P-6m2 (187)
ΔE_f (raw) in eV per atom: -1.78

a b c (Å): 4.200 4.200 7.370
angles (deg): 90.00 90.00 120.00
Fractional positions:
Ca: 0.000 0.000 0.230
Ca: 0.000 0.000 0.770
Te: 0.667 0.333 0.500
S: 0.333 0.667 0.000

(7)
Entry from Alexandria via LeMat-Bulk: crystalline CaTe3S at its relaxed geometry (PBE).

Computed properties:
D(E_F) in states/eV/f.u.: 8.68
SG: Pm-3m (221)
ΔE_f (raw) in eV per atom: 0.54

a b c (Å): 5.816 5.816 5.816
angles (deg): 90.00 90.00 90.00
Fractional positions:
Ca: 0.000 0.000 0.000
Te: 0.000 0.000 0.500
Te: 0.000 0.500 0.000
Te: 0.500 0.000 0.000
S: 0.500 0.500 0.500

(8)
Entry from Alexandria via LeMat-Bulk: crystalline Ca2TeS at its relaxed geometry (PBE).

Computed properties:
D(E_F) in states/eV/f.u.: 0.00
SG: P6_3/mmc (194)
ΔE_f (raw) in eV per atom: -1.85

a b c (Å): 4.254 4.254 14.223
angles (deg): 90.00 90.00 120.00
Fractional positions:
Ca: 0.333 0.667 0.111
Ca: 0.333 0.667 0.389
Ca: 0.667 0.333 0.611
Ca: 0.667 0.333 0.889
Te: 0.333 0.667 0.750
Te: 0.667 0.333 0.250
S: 0.000 0.000 0.000
S: 0.000 0.000 0.500